ZnCdTe2 PBE-GGA relaxed; E_form (uncorrected) = -0.460 eV per atom; final energy = -20.627 eV/cell; SG = No. 122
1.0
6.413 0.000 0.000
0.000 6.413 0.000
3.207 3.207 6.347
Cd Te Zn
2 4 2
Direct
0.750 0.250 0.500 Cd
0.000 0.000 0.000 Cd
0.375 0.399 0.750 Te
0.149 0.625 0.250 Te
0.875 0.851 0.750 Te
0.601 0.125 0.250 Te
0.250 0.750 0.500 Zn
0.500 0.500 0.000 Zn

ZnCdTe2 PBE-GGA relaxed; E_form (uncorrected) = 0.131 eV per atom; final energy = -7.948 eV/cell; SG = No. 99
1.0
-0.822 3.036 0.621
-1.047 -0.876 2.900
9.423 1.747 3.929
Te Cd Zn
2 1 1
Direct
0.500 0.500 0.312 Te
0.000 0.000 0.954 Te
0.500 0.500 0.710 Cd
0.000 0.000 0.524 Zn

Zn2Cd2Te PBE-GGA relaxed; E_form (uncorrected) = 0.089 eV per atom; final energy = -7.073 eV/cell; ΔE to the lowest computed polymorph = 0.033 eV per atom; SG = No. 139
1.0
-3.928 1.459 0.518
-0.730 -2.992 2.888
-0.280 3.133 6.262
Zn Te Cd
2 1 2
Direct
0.403 0.403 0.194 Zn
0.597 0.597 0.806 Zn
0.000 0.000 0.000 Te
0.250 0.750 0.500 Cd
0.750 0.250 0.500 Cd

ZnCd3Te PBE-GGA relaxed; E_form (uncorrected) = 0.460 eV per atom; final energy = -4.859 eV/cell; ΔE to the lowest computed polymorph = 0.250 eV per atom; SG = No. 221
1.0
-2.375 3.770 -3.998
-0.478 -4.481 -3.941
-5.474 -1.245 2.079
Cd Te Zn
3 1 1
Direct
0.500 0.000 0.000 Cd
0.000 0.500 0.000 Cd
0.000 0.000 0.500 Cd
0.000 0.000 0.000 Te
0.500 0.500 0.500 Zn

Zn4CdTe5 PBE-GGA relaxed; E_form (uncorrected) = -0.448 eV per atom; final energy = -52.406 eV/cell; SG = No. 156
1.0
-2.106 -2.431 -3.023
0.572 -1.569 4.086
-31.737 14.869 10.158
Te Zn Cd
10 8 2
Direct
0.667 0.333 0.724 Te
0.333 0.667 0.431 Te
0.333 0.667 0.224 Te
0.667 0.333 0.919 Te
0.667 0.333 0.529 Te
0.667 0.333 0.127 Te
0.667 0.333 0.334 Te
0.333 0.667 0.822 Te
0.333 0.667 0.017 Te
0.333 0.667 0.626 Te
0.333 0.667 0.895 Zn
0.667 0.333 0.993 Zn
0.333 0.667 0.700 Zn
0.667 0.333 0.602 Zn
0.667 0.333 0.200 Zn
0.667 0.333 0.407 Zn
0.333 0.667 0.505 Zn
0.667 0.333 0.798 Zn
0.333 0.667 0.095 Cd
0.333 0.667 0.302 Cd

ZnCdTe PBE-GGA relaxed; E_form (uncorrected) = 0.039 eV per atom; final energy = -5.212 eV/cell; ΔE to the lowest computed polymorph = 0.196 eV per atom; SG = No. 216
1.0
-0.537 -0.459 4.768
3.678 -1.553 2.701
2.253 3.043 2.983
Zn Cd Te
1 1 1
Direct
0.750 0.750 0.750 Zn
0.000 0.000 0.000 Cd
0.500 0.500 0.500 Te

ZnCdTe PBE-GGA relaxed; E_form (uncorrected) = -0.156 eV per atom; final energy = -11.598 eV/cell; ΔE to the lowest computed polymorph = 0.000 eV per atom; SG = No. 1
1.0
-3.220 -3.163 0.102
3.578 -3.612 0.759
-2.221 -0.736 6.953
Zn Te Cd
2 2 2
Direct
0.460 0.851 0.083 Zn
0.543 0.351 0.921 Zn
0.852 0.997 0.300 Te
0.152 0.497 0.704 Te
0.657 0.907 0.703 Cd
0.353 0.407 0.301 Cd

ZnCd4Te5 PBE-GGA relaxed; E_form (uncorrected) = -0.450 eV per atom; final energy = -25.147 eV/cell; SG = No. 160
1.0
4.577 0.000 0.560
2.254 3.984 0.560
-0.012 -0.007 19.080
Cd Te Zn
4 5 1
Direct
0.749 0.749 0.752 Cd
0.552 0.552 0.343 Cd
0.151 0.151 0.547 Cd
0.348 0.348 0.956 Cd
0.603 0.603 0.191 Te
0.201 0.201 0.396 Te
0.997 0.997 0.009 Te
0.398 0.398 0.805 Te
0.800 0.800 0.601 Te
0.950 0.950 0.151 Zn

ZnCdTe PBE-GGA relaxed; E_form (uncorrected) = 0.088 eV per atom; final energy = -5.066 eV/cell; ΔE to the lowest computed polymorph = 0.244 eV per atom; SG = No. 42
1.0
-0.329 4.230 3.145
-2.776 -0.925 4.396
3.981 -2.475 -2.410
Zn Cd Te
1 1 1
Direct
0.669 0.669 0.000 Zn
0.994 0.994 0.000 Cd
0.337 0.337 0.000 Te

Zn2Cd2Te PBE-GGA relaxed; E_form (uncorrected) = 0.056 eV per atom; final energy = -14.476 eV/cell; ΔE to the lowest computed polymorph = 0.000 eV per atom; SG = No. 127
1.0
8.759 0.000 0.000
0.000 8.759 0.000
0.000 0.000 2.922
Te Zn Cd
2 4 4
Direct
0.000 0.000 0.000 Te
0.500 0.500 0.000 Te
0.394 0.106 0.500 Zn
0.894 0.394 0.500 Zn
0.606 0.894 0.500 Zn
0.106 0.606 0.500 Zn
0.693 0.193 0.000 Cd
0.307 0.807 0.000 Cd
0.193 0.307 0.000 Cd
0.807 0.693 0.000 Cd

ZnCdTe2 PBE-GGA relaxed; E_form (uncorrected) = -0.005 eV per atom; final energy = -16.983 eV/cell; SG = No. 63
1.0
1.603 -11.719 0.000
1.603 11.719 0.000
0.000 0.000 5.715
Cd Zn Te
2 2 4
Direct
0.686 0.314 0.750 Cd
0.314 0.686 0.250 Cd
0.060 0.940 0.250 Zn
0.940 0.060 0.750 Zn
0.061 0.939 0.750 Te
0.815 0.185 0.750 Te
0.939 0.061 0.250 Te
0.185 0.815 0.250 Te

ZnCdTe2 PBE-GGA relaxed; E_form (uncorrected) = 0.014 eV per atom; final energy = -8.417 eV/cell; SG = No. 47
1.0
-2.268 1.062 3.205
1.402 -7.344 3.426
3.227 1.457 1.801
Te Zn Cd
2 1 1
Direct
0.000 0.000 0.000 Te
0.500 0.500 0.000 Te
0.500 0.000 0.500 Zn
0.000 0.500 0.500 Cd

ZnCdTe2 PBE-GGA relaxed; E_form (uncorrected) = -0.299 eV per atom; final energy = -38.674 eV/cell; SG = No. 137
1.0
-0.239 6.266 -1.140
-8.616 1.375 9.365
4.707 0.942 4.192
Zn Te Cd
4 8 4
Direct
0.250 0.000 0.937 Zn
0.250 0.500 0.437 Zn
0.750 0.000 0.437 Zn
0.750 0.500 0.937 Zn
0.001 0.865 0.688 Te
0.499 0.135 0.688 Te
0.999 0.135 0.188 Te
0.501 0.635 0.688 Te
0.999 0.365 0.688 Te
0.499 0.365 0.188 Te
0.501 0.865 0.188 Te
0.001 0.635 0.188 Te
0.250 0.500 0.937 Cd
0.250 0.000 0.437 Cd
0.750 0.500 0.437 Cd
0.750 0.000 0.937 Cd